1.
Crystalline BaPHO2 at its relaxed geometry. Source: the Alexandria database, functional PBE-GGA.

```
BaPHO2
1.0
5.001 0.000 0.000
0.000 5.001 0.000
0.000 0.000 7.472
Ba P H O
1 1 1 2
direct
0.000 0.000 0.000
0.000 0.000 0.500
0.500 0.500 0.500
0.000 0.500 0.000
0.500 0.000 0.000
```

Properties
Energy above the lowest structure with this stoichiometry ... 1079 meV per atom
Final energy ... -3.424 eV/atom

2.
Crystalline NdMgCd11 at its relaxed geometry. Source: the Alexandria database, functional PBE-GGA.

```
NdMgCd11
1.0
2.994 -7.029 0.000
2.994 7.029 0.000
-2.986 0.000 7.050
Nd Mg Cd
1 1 11
direct
0.000 0.000 0.000
0.500 0.500 0.500
0.000 0.000 0.500
0.000 0.500 0.000
0.005 0.354 0.352
0.292 0.505 0.785
0.354 0.005 0.352
0.495 0.708 0.215
0.500 0.000 0.000
0.505 0.292 0.785
0.646 0.995 0.648
0.708 0.495 0.215
0.995 0.646 0.648
```

Properties
Energy relative to the elements ... -1.8 eV/f.u.
Final energy ... -1.402 eV/atom

3.
Crystalline NaCeBi at its relaxed geometry. Source: the Alexandria database, functional PBE-GGA.

```
NaCeBi
1.0
5.037 0.000 0.000
-2.518 4.362 0.000
0.000 0.000 4.238
Na Ce Bi
1 1 1
direct
0.000 0.000 0.000
0.333 0.667 0.478
0.667 0.333 0.944
```

Properties
Energy relative to the elements ... -0.7 eV/f.u.
Final energy ... -3.951 eV/atom

4.
Crystalline RbCdHgCl2 at its relaxed geometry. Source: the Alexandria database, functional PBE-GGA.

```
RbCdHgCl2
1.0
5.614 0.000 0.000
0.000 5.614 0.000
0.000 0.000 6.523
Rb Cd Hg Cl
1 1 1 2
direct
0.000 0.000 0.000
0.500 0.500 0.000
0.000 0.000 0.500
0.000 0.500 0.500
0.500 0.000 0.500
```

Properties
Final energy ... -1.647 eV/atom

5.
Crystalline YSiBi2Pd at its relaxed geometry. Source: the Alexandria database, functional PBE-GGA.

```
YSiBi2Pd
1.0
5.620 0.000 0.000
0.000 5.620 0.000
0.000 0.000 4.468
Y Si Bi Pd
1 1 2 1
direct
0.000 0.000 0.000
0.500 0.500 0.000
0.000 0.500 0.500
0.500 0.000 0.500
0.500 0.500 0.500
```

Properties
Final energy ... -4.991 eV/atom

6.
Crystalline YMnZn2 at its relaxed geometry. Source: the Alexandria database, functional PBE-GGA.

```
YMnZn2
1.0
4.273 0.000 0.000
0.000 4.273 0.000
0.000 0.000 4.184
Y Mn Zn
1 1 2
direct
0.000 0.000 0.000
0.500 0.500 0.000
0.000 0.500 0.500
0.500 0.000 0.500
```

Properties
Energy relative to the elements ... 0.0 eV/f.u.
Final energy ... -4.533 eV/atom

7.
Crystalline Re6Os at its relaxed geometry. Source: the Alexandria database, functional PBE-GGA.

```
Re6Os
1.0
5.820 3.360 0.900
-5.820 3.360 0.900
0.000 -6.721 0.900
Re Os
6 1
direct
0.143 0.279 0.848
0.152 0.857 0.721
0.279 0.848 0.143
0.721 0.152 0.857
0.848 0.143 0.279
0.857 0.721 0.152
0.500 0.500 0.500
```

Properties
Energy above the lowest structure with this stoichiometry ... 0 meV per atom
Energy relative to the elements ... 1.9 eV/f.u.
Final energy ... -11.997 eV/atom

8.
Crystalline CsNdCl3 at its relaxed geometry. Source: the Alexandria database, functional PBE-GGA.

```
CsNdCl3
1.0
5.573 0.000 0.000
0.000 5.573 0.000
0.000 0.000 5.573
Cs Nd Cl
1 1 3
direct
0.000 0.000 0.000
0.500 0.500 0.500
0.000 0.500 0.500
0.500 0.000 0.500
0.500 0.500 0.000
```

Properties
Energy above the lowest structure with this stoichiometry ... 43 meV per atom
Final energy ... -4.168 eV/atom

9.
Crystalline Nd6TlFe13 at its relaxed geometry. Source: the Alexandria database, functional PBE-GGA.

```
Nd6TlFe13
1.0
-4.026 4.026 11.788
4.026 -4.026 11.788
4.026 4.026 -11.788
Nd Tl Fe
12 2 26
direct
0.020 0.520 0.173
0.104 0.104 0.000
0.153 0.980 0.500
0.347 0.847 0.827
0.396 0.396 0.000
0.480 0.653 0.500
0.520 0.347 0.500
0.604 0.604 0.000
0.653 0.153 0.173
0.847 0.020 0.500
0.896 0.896 0.000
0.980 0.480 0.827
0.250 0.250 0.000
0.750 0.750 0.000
0.000 0.500 0.500
0.020 0.294 0.500
0.066 0.210 0.276
0.121 0.621 0.858
0.206 0.480 0.500
0.210 0.934 0.144
0.237 0.737 0.858
0.263 0.121 0.500
0.290 0.434 0.724
0.294 0.794 0.274
0.379 0.237 0.500
0.434 0.710 0.144
0.480 0.980 0.274
0.500 0.000 0.500
0.520 0.020 0.726
0.566 0.290 0.856
0.621 0.763 0.500
0.706 0.206 0.726
0.710 0.566 0.276
0.737 0.879 0.500
0.763 0.263 0.142
0.790 0.066 0.856
0.794 0.520 0.500
0.879 0.379 0.142
0.934 0.790 0.724
0.980 0.706 0.500
```

Properties
Energy relative to the elements ... -0.9 eV/f.u.
Final energy ... -7.092 eV/atom

Repeat the fourth record exactly.
Crystalline RbCdHgCl2 at its relaxed geometry. Source: the Alexandria database, functional PBE-GGA.

```
RbCdHgCl2
1.0
5.614 0.000 0.000
0.000 5.614 0.000
0.000 0.000 6.523
Rb Cd Hg Cl
1 1 1 2
direct
0.000 0.000 0.000
0.500 0.500 0.000
0.000 0.000 0.500
0.000 0.500 0.500
0.500 0.000 0.500
```

Properties
Final energy ... -1.647 eV/atom

Q: Look up the final energy of the second one.
A: -1.402 eV/atom

Q: What is the formula in the sixth record?
A: YMnZn2

Q: Among the records above, which one has the lowest final energy?
A: Re6Os